Computed, not measured: a relaxed Ta2AlPt crystal at the GGA-PBE level of DFT.

Lattice parameters (Å, degrees): 2.8936 2.8936 27.9718 90.00 90.00 120.00
Space group R3m (No. 160, hexagonal axes)
Inequivalent atoms, fractional coordinates:
Ta (0.0000, 0.0000, 0.0000) [3 per cell]
Ta (0.0000, 0.0000, 0.2417) [3 per cell]
Al (0.0000, 0.0000, 0.7508) [3 per cell]
Pt (0.0000, 0.0000, 0.4924) [3 per cell]

## Properties
* calculated total energy: -103.3 eV per cell
* Fermi-level density of states: 3.1 states/eV/f.u.

=====

Computed, not measured: a relaxed AcNiH6Pd crystal at the GGA-PBE level of DFT.

Lattice parameters (Å, degrees): 4.7499 4.7499 4.5013 90.00 90.00 120.00
Space group P-6m2 (No. 187)
Inequivalent atoms, fractional coordinates:
Ac (0.0000, 0.0000, 0.0000) [1 per cell]
Ni (0.6667, 0.3333, 0.5000) [1 per cell]
H (0.5136, 0.0271, 0.2650) [6 per cell]
Pd (0.3333, 0.6667, 0.5000) [1 per cell]

## Properties
* calculated total energy: -38.8 eV per cell
* Fermi-level density of states: 1.2 states/eV/f.u.